! DyCoNi4 (PBE, relaxed); values from VASP
&SYSTEM
  ibrav = 0, nat = 12, ntyp = 3
/
ATOMIC_SPECIES
Dy 162.50 Dy.upf
Co 58.93 Co.upf
Ni 58.69 Ni.upf
CELL_PARAMETERS angstrom
6.947 0.000 0.000
0.000 3.758 0.000
0.000 0.000 6.351
ATOMIC_POSITIONS crystal
Dy 0.250 0.000 0.137
Dy 0.750 0.000 0.863
Co 0.250 0.000 0.725
Co 0.750 0.000 0.275
Ni 0.000 0.000 0.500
Ni 0.056 0.500 0.799
Ni 0.250 0.500 0.472
Ni 0.444 0.500 0.799
Ni 0.500 0.000 0.500
Ni 0.556 0.500 0.201
Ni 0.750 0.500 0.528
Ni 0.944 0.500 0.201
! ΔH_f (0 K), meV/atom: -93
! N(E_F), states/eV/f.u.: 7.4
! V, A^3/atom: 13.82
! SG: Pmma, No. 51
! VASP energy, eV/atom: -5.90